No. 1
8
Lattice="-1.208 0.935 -3.356 -3.314 -1.404 0.802 -2.216 6.760 2.683" Properties=species:S:1:pos:R:3 comment="DyErB2Pd2N2, relaxed, DFT GGA-PBE" crystal_system=tetragonal magmom_total_mub_per_cell=0.0 vol_a3_per_atom=12.920 pbc="T T T"
B -2.980 1.960 -0.406
B -1.495 4.560 1.810
Dy -0.360 1.098 0.436
Er -4.119 5.432 0.972
N -2.562 0.685 -0.912
N -1.912 5.832 2.314
Pd -1.714 3.853 -0.334
Pd -2.767 2.683 1.744



No. 2
8
Lattice="3.672 0.000 0.000 -1.836 3.180 0.000 0.000 0.000 16.590" Properties=species:S:1:pos:R:3 comment="DyEr3B2Pb2, relaxed, DFT GGA-PBE" crystal_system=trigonal magmom_total_mub_per_cell=0.1 vol_a3_per_atom=24.218 pbc="T T T"
B 0.000 2.120 0.019
B 0.000 2.120 8.291
Dy 0.000 0.000 15.110
Er 1.836 1.060 1.491
Er 1.836 1.060 6.827
Er 0.000 0.000 9.754
Pb 0.000 0.000 4.155
Pb 1.836 1.060 12.420



No. 3
8
Lattice="-3.240 0.366 -1.720 0.718 -3.045 1.949 -6.413 7.199 13.613" Properties=species:S:1:pos:R:3 comment="Dy3ErB2Pb2, relaxed, DFT GGA-PBE" crystal_system=trigonal magmom_total_mub_per_cell=0.0 vol_a3_per_atom=24.541 pbc="T T T"
B -0.007 0.008 0.015
B -3.205 3.598 6.804
Dy -3.229 1.042 6.304
Dy -5.703 3.475 7.532
Dy -7.767 5.791 11.912
Er -1.171 -1.268 1.937
Pb -3.515 1.019 2.888
Pb -5.414 3.494 10.942



No. 4
8
Lattice="3.682 0.000 0.000 -1.841 3.189 0.000 0.000 0.000 16.630" Properties=species:S:1:pos:R:3 comment="DyErBPb, relaxed, DFT GGA-PBE" crystal_system=hexagonal magmom_total_mub_per_cell=0.1 vol_a3_per_atom=24.405 pbc="T T T"
B 0.000 0.000 4.133
B 0.000 0.000 12.497
Dy 1.841 1.063 5.626
Dy 1.841 1.063 11.003
Er 0.000 2.126 2.667
Er 0.000 2.126 13.962
Pb 1.841 1.063 0.000
Pb 0.000 2.126 8.315



No. 5
8
Lattice="3.675 0.000 0.000 -1.837 3.182 0.000 0.000 0.000 16.634" Properties=species:S:1:pos:R:3 comment="DyErBPb, relaxed, DFT GGA-PBE" crystal_system=trigonal magmom_total_mub_per_cell=0.0 vol_a3_per_atom=24.314 pbc="T T T"
B 0.000 0.000 0.000
B 0.000 0.000 8.317
Dy 0.000 2.122 6.812
Dy 1.837 1.061 9.822
Er 0.000 2.122 1.461
Er 1.837 1.061 15.173
Pb 1.837 1.061 4.128
Pb 0.000 2.122 12.506



No. 6
8
Lattice="3.617 0.000 0.000 -1.808 3.132 0.000 0.000 0.000 16.801" Properties=species:S:1:pos:R:3 comment="DyEr3Tl2B2, relaxed, DFT GGA-PBE" crystal_system=trigonal magmom_total_mub_per_cell=0.1 vol_a3_per_atom=23.789 pbc="T T T"
B 0.000 2.088 0.018
B 0.000 2.088 8.396
Dy 0.000 0.000 15.272
Er 1.808 1.044 1.547
Er 1.808 1.044 6.876
Er 0.000 0.000 9.909
Tl 0.000 0.000 4.206
Tl 1.808 1.044 12.578



No. 7
42
Lattice="-5.988 0.623 -3.667 -6.963 -0.978 0.513 -1.116 12.684 4.600" Properties=species:S:1:pos:R:3 comment="Dy4B4O11F2, relaxed, DFT GGA-PBE" crystal_system=monoclinic magmom_total_mub_per_cell=0.0 vol_a3_per_atom=9.842 pbc="T T T"
B -1.224 0.319 -0.378
B -1.480 2.632 0.792
B -12.079 3.274 -1.433
B -12.201 5.806 -0.835
B -1.866 6.524 2.280
B -1.988 9.056 2.878
B -12.587 9.698 0.654
B -12.842 12.011 1.824
Dy -9.448 1.413 -1.738
Dy -5.841 1.522 -0.870
Dy -7.632 4.524 -0.138
Dy -4.031 4.624 0.755
Dy -10.036 7.706 0.690
Dy -6.435 7.805 1.583
Dy -8.226 10.808 2.316
Dy -4.618 10.917 3.183
F -3.539 0.905 -0.610
F -9.918 5.167 -0.465
F -4.148 7.163 1.910
F -10.528 11.424 2.056
O -7.695 -0.040 -0.985
O -11.479 0.671 -2.727
O -7.368 1.690 -2.881
O -8.210 2.275 0.051
O -4.143 3.478 -1.204
O -6.424 3.537 -1.845
O -8.756 3.512 -2.267
O -5.723 3.015 0.914
O -5.438 5.453 -0.989
O -1.910 5.513 1.359
O -6.134 5.501 1.503
O -7.933 6.828 -0.057
O -12.157 6.816 0.086
O -8.629 6.877 2.434
O -8.344 9.314 0.531
O -5.310 8.817 3.712
O -7.643 8.792 3.291
O -9.924 8.852 2.650
O -5.856 10.054 1.394
O -6.699 10.639 4.326
O -2.587 11.659 4.172
O -6.372 12.369 2.430



No. 8
18
Lattice="-6.174 -3.127 0.492 1.915 -2.832 6.037 -1.386 3.030 1.861" Properties=species:S:1:pos:R:3 comment="DyFe4B4, relaxed, DFT GGA-PBE" crystal_system=tetragonal magmom_total_mub_per_cell=1.8 vol_a3_per_atom=10.207 pbc="T T T"
B -0.741 -1.244 2.309
B -3.814 -4.068 4.618
B -2.082 -0.220 1.886
B -3.267 -3.355 6.107
B -5.410 -1.618 3.354
B -0.530 -0.664 5.434
B -4.973 0.057 3.195
B -1.762 -0.603 6.660
Dy 0.000 0.000 0.000
Dy -2.822 -1.464 4.195
Fe -4.773 -3.473 2.957
Fe 0.211 -1.822 3.980
Fe -4.224 -1.118 1.731
Fe -1.117 -2.475 6.252
Fe -0.849 0.446 3.412
Fe -5.100 -2.711 5.386
Fe -3.360 1.120 2.644
Fe -3.367 -1.682 7.200



No. 9
22
Lattice="0.044 3.336 0.716 2.086 3.229 -7.040 -8.965 0.626 -2.369" Properties=species:S:1:pos:R:3 comment="Dy3FeB7, relaxed, DFT GGA-PBE" crystal_system=orthorhombic magmom_total_mub_per_cell=0.5 vol_a3_per_atom=11.296 pbc="T T T"
B 0.665 2.399 -3.087
B -0.773 1.798 -0.200
B -0.816 2.170 -1.928
B -0.298 4.929 -6.685
B -2.550 2.291 -2.386
B -3.485 1.987 -0.917
B -3.225 2.670 -4.115
B -3.610 4.520 -4.578
B -3.350 5.203 -7.776
B -4.285 4.900 -6.306
B -6.537 2.261 -2.008
B -6.019 5.021 -6.765
B -6.062 5.392 -8.493
B -7.500 4.791 -5.606
Dy 1.111 2.940 -5.633
Dy -1.195 4.250 -3.469
Dy -2.287 3.177 -6.531
Dy -4.548 4.013 -2.162
Dy -5.640 2.940 -5.224
Dy -7.946 4.251 -3.060
Fe -1.973 3.662 -0.680
Fe -4.862 3.529 -8.013



No. 10
68
Lattice="8.713 0.000 0.000 0.000 8.713 0.000 0.000 0.000 11.909" Properties=species:S:1:pos:R:3 comment="Dy2Fe14B, relaxed, DFT GGA-PBE" crystal_system=tetragonal magmom_total_mub_per_cell=123.7 vol_a3_per_atom=13.297 pbc="T T T"
B 5.446 3.268 0.000
B 3.268 5.446 0.000
B 1.089 1.089 5.954
B 7.624 7.624 5.954
Dy 7.464 1.250 0.000
Dy 2.329 2.329 0.000
Dy 6.385 6.385 0.000
Dy 1.250 7.464 0.000
Dy 6.685 2.028 5.954
Dy 3.107 3.107 5.954
Dy 5.607 5.607 5.954
Dy 2.028 6.685 5.954
Fe 4.357 0.000 0.000
Fe 0.000 4.357 0.000
Fe 4.357 4.357 1.377
Fe 4.935 1.956 1.508
Fe 6.758 3.779 1.508
Fe 1.956 4.935 1.508
Fe 3.779 6.758 1.508
Fe 3.126 0.324 2.080
Fe 0.324 3.126 2.080
Fe 8.389 5.588 2.080
Fe 5.588 8.389 2.080
Fe 0.846 0.846 2.391
Fe 7.868 7.868 2.391
Fe 2.764 2.764 2.929
Fe 5.949 5.949 2.929
Fe 7.121 1.592 3.026
Fe 1.592 7.121 3.026
Fe 5.203 3.511 3.564
Fe 3.511 5.203 3.564
Fe 4.681 1.231 3.874
Fe 7.483 4.033 3.874
Fe 1.231 4.681 3.874
Fe 4.033 7.483 3.874
Fe 2.401 0.578 4.446
Fe 0.578 2.401 4.446
Fe 8.136 6.312 4.446
Fe 6.312 8.136 4.446
Fe 0.000 0.000 4.578
Fe 4.357 0.000 5.954
Fe 0.000 4.357 5.954
Fe 0.000 0.000 7.331
Fe 2.401 0.578 7.463
Fe 0.578 2.401 7.463
Fe 8.136 6.312 7.463
Fe 6.312 8.136 7.463
Fe 4.681 1.231 8.035
Fe 7.483 4.033 8.035
Fe 1.231 4.681 8.035
Fe 4.033 7.483 8.035
Fe 5.203 3.511 8.345
Fe 3.511 5.203 8.345
Fe 7.121 1.592 8.883
Fe 1.592 7.121 8.883
Fe 2.764 2.764 8.980
Fe 5.949 5.949 8.980
Fe 0.846 0.846 9.518
Fe 7.868 7.868 9.518
Fe 3.126 0.324 9.829
Fe 0.324 3.126 9.829
Fe 8.389 5.588 9.829
Fe 5.588 8.389 9.829
Fe 4.935 1.956 10.401
Fe 6.758 3.779 10.401
Fe 1.956 4.935 10.401
Fe 3.779 6.758 10.401
Fe 4.357 4.357 10.532



No. 11
68
Lattice="-0.058 -8.136 -3.118 3.781 2.786 -7.339 10.730 -1.916 4.801" Properties=species:S:1:pos:R:3 comment="Dy2Fe14B, relaxed, DFT GGA-PBE" crystal_system=tetragonal magmom_total_mub_per_cell=123.7 vol_a3_per_atom=13.297 pbc="T T T"
B 0.422 -6.770 -3.646
B 3.301 1.420 -6.811
B 6.761 -2.964 -1.520
B 7.692 -4.302 -4.135
Dy 0.867 -1.245 -2.434
Dy 1.311 -4.242 -4.623
Dy 2.412 -1.108 -5.834
Dy 2.857 -4.105 -8.023
Dy 5.899 -1.725 0.901
Dy 6.333 -6.175 -1.845
Dy 8.120 -1.091 -3.810
Dy 8.555 -5.541 -6.556
Fe -0.029 -4.068 -1.559
Fe 1.891 1.393 -3.669
Fe 1.240 -0.221 0.555
Fe 1.568 -5.951 -2.137
Fe 2.347 -7.071 -4.326
Fe 4.094 1.236 -4.915
Fe 4.873 0.116 -7.103
Fe 2.382 -3.706 -1.641
Fe 3.616 -0.195 -2.998
Fe 3.856 -5.824 -5.781
Fe 5.090 -2.313 -7.138
Fe 3.654 -2.540 -3.249
Fe 4.377 -3.579 -5.280
Fe 3.320 -1.449 -0.729
Fe 5.683 -4.844 -7.365
Fe 3.886 -5.157 -3.238
Fe 5.289 -1.166 -4.780
Fe 3.526 -7.648 -2.091
Fe 6.619 1.152 -5.492
Fe 3.595 -5.737 -0.711
Fe 4.792 -7.457 -4.072
Fe 5.913 0.860 -3.260
Fe 7.110 -0.860 -6.622
Fe 4.830 -3.618 -1.206
Fe 5.633 -1.333 -2.090
Fe 6.103 -5.448 -4.782
Fe 6.906 -3.162 -5.665
Fe 5.987 -3.412 -3.383
Fe 5.336 -5.026 0.842
Fe 7.256 0.435 -1.269
Fe 8.467 -3.854 -2.273
Fe 7.547 -4.104 0.010
Fe 8.351 -1.818 -0.873
Fe 8.821 -5.933 -3.566
Fe 9.624 -3.647 -4.449
Fe 7.343 -6.406 0.967
Fe 8.540 -8.126 -2.395
Fe 9.662 0.191 -1.583
Fe 10.859 -1.529 -4.945
Fe 7.834 -8.418 -0.163
Fe 10.927 0.382 -3.564
Fe 9.165 -6.100 -0.875
Fe 10.568 -2.109 -2.418
Fe 8.771 -2.422 1.710
Fe 11.134 -5.817 -4.926
Fe 10.076 -3.687 -0.375
Fe 10.800 -4.726 -2.406
Fe 9.363 -4.953 1.483
Fe 10.597 -1.441 0.126
Fe 10.838 -7.071 -2.657
Fe 12.072 -3.560 -4.014
Fe 9.580 -7.382 1.448
Fe 10.360 -8.502 -0.740
Fe 12.106 -0.195 -1.330
Fe 12.886 -1.315 -3.518
Fe 9.490 -1.694 4.246



No. 12
10
Lattice="7.491 5.995 4.287 3.584 6.825 7.142 -4.874 -8.276 -4.264" Properties=species:S:1:pos:R:3 comment="Gd2DyFe2B2N3, relaxed, DFT GGA-PBE" crystal_system=tetragonal magmom_total_mub_per_cell=2.4 vol_a3_per_atom=12.316 pbc="T T T"
B 2.079 2.406 2.145
B 8.996 10.414 9.284
Dy 0.000 0.000 0.000
Fe 4.077 2.064 2.869
Fe 2.123 2.480 4.296
Gd 4.180 4.839 4.314
Gd 6.894 7.981 7.115
N 1.274 1.475 1.315
N 5.537 6.410 5.714
N 9.800 11.345 10.114



No. 13
7
Lattice="5.361 -2.039 0.000 5.361 2.039 0.000 -4.372 0.000 5.297" Properties=species:S:1:pos:R:3 comment="DyHoFe2Ge2B, relaxed, DFT GGA-PBE" crystal_system=monoclinic magmom_total_mub_per_cell=0.0 vol_a3_per_atom=16.539 pbc="T T T"
B 10.716 0.000 0.001
Dy 2.394 0.000 4.354
Fe 0.831 0.000 1.662
Fe 5.517 0.000 3.632
Ge 7.259 0.000 2.038
Ge -0.907 0.000 3.259
Ho 3.962 0.000 0.944



No. 14
7
Lattice="5.309 -2.023 0.000 5.309 2.023 0.000 -4.357 0.000 5.284" Properties=species:S:1:pos:R:3 comment="Dy2Fe2SiGeB, relaxed, DFT GGA-PBE" crystal_system=monoclinic magmom_total_mub_per_cell=0.0 vol_a3_per_atom=16.217 pbc="T T T"
B 3.113 0.000 2.634
Dy -0.762 0.000 1.701
Dy 7.036 0.000 3.582
Fe 2.269 0.000 0.970
Fe 3.923 0.000 4.308
Ge -0.291 0.000 4.710
Si 6.624 0.000 0.589



No. 15
12
Lattice="-0.413 3.274 3.825 -4.003 -2.726 -1.436 1.819 -5.050 4.518" Properties=species:S:1:pos:R:3 comment="DyHoFe8B2, relaxed, DFT GGA-PBE" crystal_system=hexagonal magmom_total_mub_per_cell=15.1 vol_a3_per_atom=12.922 pbc="T T T"
B -0.701 -1.251 4.331
B -1.898 -3.251 2.577
Dy 0.000 0.000 0.000
Fe -1.610 1.274 2.072
Fe -2.807 -0.726 0.318
Fe 0.314 0.191 3.206
Fe -1.481 -2.809 0.576
Fe -1.688 -1.172 2.488
Fe 1.091 -1.968 5.138
Fe -0.704 -4.968 2.507
Fe -0.911 -3.331 4.420
Ho 0.909 -2.525 2.259



The E_tot results, record by record, are as follows: -7.243 -5.098 -5.096 -5.097 -5.097 -4.656 -8.075 -7.655 -6.854 -7.887 -7.887 -8.030 -6.547 -6.702 -7.658 eV per atom.